[1]
The following is a GGA-PBE calculation of a relaxed IrN crystal, from Alexandria via LeMat-Bulk.

Values from the calculation:
Crystal system   cubic
Polymorph energy (0 for the lowest one)   523 meV/atom
E   -7.496 eV per atom
Formation energy from raw total energies   1.10 eV/atom
SG   Pm-3n (223)

abc: 5.718 5.718 5.718
angles: 90.00 90.00 90.00
Fractional coordinates of all 12 atoms:
1 Ir 0.500 0.750 0.000
2 N 0.000 0.250 0.500
3 N 0.250 0.500 0.000
4 Ir 0.000 0.500 0.250
5 Ir 0.250 0.000 0.500
6 N 0.750 0.500 0.000
7 Ir 0.000 0.500 0.750
8 N 0.000 0.750 0.500
9 Ir 0.500 0.250 0.000
10 N 0.500 0.000 0.750
11 N 0.500 0.000 0.250
12 Ir 0.750 0.000 0.500



[2]
The following is a GGA-PBE calculation of a relaxed IrN crystal, from Alexandria via LeMat-Bulk.

Values from the calculation:
Crystal system   orthorhombic
Polymorph energy (0 for the lowest one)   204 meV/atom
E   -7.815 eV per atom
Formation energy from raw total energies   0.78 eV/atom
SG   Pmmn (59)

abc: 3.254 4.964 9.785
angles: 90.00 90.00 90.00
Fractional coordinates of all 12 atoms:
1 Ir 0.500 0.188 0.355
2 N 0.500 0.458 0.500
3 Ir 0.000 0.812 0.855
4 Ir 0.500 0.335 0.000
5 Ir 0.000 0.665 0.500
6 N 0.000 0.940 0.347
7 N 0.500 0.060 0.153
8 Ir 0.500 0.188 0.645
9 Ir 0.000 0.812 0.145
10 N 0.000 0.940 0.653
11 N 0.500 0.060 0.847
12 N 0.000 0.542 0.000



[3]
The following is a GGA-PBE calculation of a relaxed IrN4 crystal, from Alexandria via LeMat-Bulk.

Values from the calculation:
Crystal system   cubic
E   -5.871 eV per atom
Formation energy from raw total energies   2.56 eV/atom
SG   Pm-3m (221)

abc: 3.851 3.851 3.851
angles: 90.00 90.00 90.00
Each line ends with the local moment (μB).
Fractional coordinates of all 5 atoms:
1 N 0.500 0.000 0.500  -0.29
2 Ir 0.500 0.500 0.500  0.08
3 N 0.000 0.000 0.000  1.56
4 N 0.000 0.500 0.500  -0.29
5 N 0.500 0.500 0.000  -0.29



[4]
The following is a GGA-PBE calculation of a relaxed IrN2 crystal, from Alexandria via LeMat-Bulk.

Values from the calculation:
Crystal system   hexagonal
E   -7.512 eV per atom
Formation energy from raw total energies   0.99 eV/atom
SG   P6_3/mmc (194)

abc: 3.097 3.097 7.495
angles: 90.00 90.00 120.00
Fractional coordinates of all 6 atoms:
1 Ir 0.333 0.667 0.750
2 N 0.000 0.000 0.084
3 N 0.000 0.000 0.416
4 N 0.000 0.000 0.584
5 N 0.000 0.000 0.916
6 Ir 0.667 0.333 0.250



[5]
The following is a GGA-PBE calculation of a relaxed IrN crystal, from Alexandria via LeMat-Bulk.

Values from the calculation:
Crystal system   orthorhombic
Polymorph energy (0 for the lowest one)   356 meV/atom
E   -7.663 eV per atom
Formation energy from raw total energies   0.93 eV/atom
SG   Fddd (70)

abc: 5.055 11.211 8.989
angles: 90.00 90.00 90.00
Fractional coordinates of all 32 atoms:
1 Ir 0.250 0.101 0.750
2 N 0.500 0.000 0.642
3 Ir 0.250 0.601 0.250
4 Ir 0.000 0.149 0.000
5 N 0.000 0.500 0.358
6 Ir 0.750 0.399 0.250
7 N 0.500 0.000 0.358
8 N 0.000 0.500 0.642
9 Ir 0.750 0.601 0.750
10 N 0.500 0.500 0.142
11 N 0.000 0.000 0.858
12 Ir 0.250 0.899 0.250
13 Ir 0.500 0.649 0.000
14 N 0.000 0.000 0.142
15 N 0.250 0.750 0.392
16 Ir 0.000 0.851 0.000
17 N 0.250 0.250 0.608
18 Ir 0.750 0.899 0.750
19 N 0.750 0.750 0.892
20 N 0.250 0.750 0.108
21 Ir 0.500 0.851 0.500
22 Ir 0.250 0.399 0.750
23 N 0.750 0.250 0.108
24 Ir 0.750 0.101 0.250
25 N 0.750 0.750 0.608
26 Ir 0.000 0.351 0.500
27 Ir 0.500 0.351 0.000
28 N 0.750 0.250 0.392
29 Ir 0.500 0.149 0.500
30 N 0.500 0.500 0.858
31 Ir 0.000 0.649 0.500
32 N 0.250 0.250 0.892



[6]
The following is a GGA-PBE calculation of a relaxed IrN crystal, from Alexandria via LeMat-Bulk.

Values from the calculation:
Crystal system   tetragonal
Polymorph energy (0 for the lowest one)   6 meV/atom
E   -8.013 eV per atom
Formation energy from raw total energies   0.58 eV/atom
SG   I4/m (87)

abc: 8.287 8.287 2.831
angles: 90.00 90.00 90.00
Fractional coordinates of all 16 atoms:
1 Ir 0.922 0.782 0.500
2 N 0.641 0.184 0.000
3 N 0.859 0.316 0.500
4 N 0.816 0.641 0.000
5 N 0.141 0.684 0.500
6 N 0.316 0.141 0.500
7 Ir 0.078 0.218 0.500
8 Ir 0.218 0.922 0.500
9 Ir 0.718 0.422 0.000
10 N 0.184 0.359 0.000
11 Ir 0.282 0.578 0.000
12 Ir 0.578 0.718 0.000
13 N 0.359 0.816 0.000
14 Ir 0.782 0.078 0.500
15 N 0.684 0.859 0.500
16 Ir 0.422 0.282 0.000



[7]
The following is a GGA-PBE calculation of a relaxed IrN crystal, from Alexandria via LeMat-Bulk.

Values from the calculation:
Crystal system   hexagonal
Polymorph energy (0 for the lowest one)   185 meV/atom
E   -7.834 eV per atom
Formation energy from raw total energies   0.76 eV/atom
SG   P6_3/m (176)

abc: 8.346 8.346 2.783
angles: 90.00 90.00 120.00
Fractional coordinates of all 12 atoms:
1 Ir 0.686 0.530 0.250
2 Ir 0.844 0.314 0.250
3 Ir 0.314 0.470 0.750
4 Ir 0.470 0.156 0.250
5 N 0.615 0.658 0.750
6 N 0.957 0.615 0.250
7 N 0.342 0.957 0.750
8 Ir 0.156 0.686 0.750
9 N 0.385 0.342 0.250
10 N 0.658 0.043 0.250
11 Ir 0.530 0.844 0.750
12 N 0.043 0.385 0.750



[8]
The following is a GGA-PBE calculation of a relaxed IrN2 crystal, from Alexandria via LeMat-Bulk.

Values from the calculation:
Crystal system   orthorhombic
E   -8.036 eV per atom
Formation energy from raw total energies   0.47 eV/atom
SG   Pnnm (58)

abc: 2.792 4.086 4.929
angles: 90.00 90.00 90.00
Fractional coordinates of all 6 atoms:
1 Ir 0.500 0.500 0.500
2 N 0.500 0.372 0.909
3 N 0.000 0.128 0.409
4 N 0.500 0.628 0.091
5 Ir 0.000 0.000 0.000
6 N 0.000 0.872 0.591



Q: Among the records above, which one has the lowest formation energy from raw total energies?
A: number 8



What did the second record say?
The following is a GGA-PBE calculation of a relaxed IrN crystal, from Alexandria via LeMat-Bulk.

Values from the calculation:
Crystal system   orthorhombic
Polymorph energy (0 for the lowest one)   204 meV/atom
E   -7.815 eV per atom
Formation energy from raw total energies   0.78 eV/atom
SG   Pmmn (59)

abc: 3.254 4.964 9.785
angles: 90.00 90.00 90.00
Fractional coordinates of all 12 atoms:
1 Ir 0.500 0.188 0.355
2 N 0.500 0.458 0.500
3 Ir 0.000 0.812 0.855
4 Ir 0.500 0.335 0.000
5 Ir 0.000 0.665 0.500
6 N 0.000 0.940 0.347
7 N 0.500 0.060 0.153
8 Ir 0.500 0.188 0.645
9 Ir 0.000 0.812 0.145
10 N 0.000 0.940 0.653
11 N 0.500 0.060 0.847
12 N 0.000 0.542 0.000